First-principles (PBE) data for an optimized crystal structure of LaAl2GaPd, as listed in Alexandria.

Structure (CIF):
```
data_LaAl2GaPd
_cell_length_a 4.332
_cell_length_b 4.442
_cell_length_c 10.648
_cell_angle_alpha 90.00
_cell_angle_beta 90.00
_cell_angle_gamma 90.00
_space_group_name_H-M_alt 'I m m 2'
_space_group_IT_number 44
loop_
_space_group_symop_operation_xyz
'x,y,z'
'-x,-y,z'
'-x,y,z'
'x,-y,z'
'x+1/2,y+1/2,z+1/2'
'-x+1/2,-y+1/2,z+1/2'
'-x+1/2,y+1/2,z+1/2'
'x+1/2,-y+1/2,z+1/2'
loop_
_atom_site_label
_atom_site_type_symbol
_atom_site_fract_x
_atom_site_fract_y
_atom_site_fract_z
La1 La 0.000 0.000 0.000
Al1 Al 0.000 0.000 0.406
Al2 Al 0.000 0.500 0.257
Ga1 Ga 0.000 0.500 0.757
Pd1 Pd 0.000 0.000 0.638
```

Values from the calculation:
Theoretical density (Mg/m³): 5.98
D(E_F) (states/eV per atom): 0.413
Magnetization (μB/f.u.): 0.00
Energy of formation (eV per atom): -0.7118



First-principles (PBE) data for an optimized crystal structure of LaAl2GaPd2, as listed in Alexandria.

Structure (CIF):
```
data_LaAl2GaPd2
_cell_length_a 4.653
_cell_length_b 4.653
_cell_length_c 5.815
_cell_angle_alpha 90.00
_cell_angle_beta 90.00
_cell_angle_gamma 90.00
_space_group_name_H-M_alt 'P 4/m m m'
_space_group_IT_number 123
_space_group_name_Hall '-P 4 2'
loop_
_atom_site_label
_atom_site_type_symbol
_atom_site_fract_x
_atom_site_fract_y
_atom_site_fract_z
La1 La 0.000 0.000 0.000
Al1 Al 0.000 0.500 0.500
Ga1 Ga 0.000 0.000 0.500
Pd1 Pd 0.500 0.500 0.251
```

Values from the calculation:
Theoretical density (Mg/m³): 6.27
D(E_F) (states/eV per atom): 0.549
Magnetization (μB/f.u.): 0.00
Energy of formation (eV per atom): -0.2509



First-principles (PBE) data for an optimized crystal structure of La3Pm3Al2Ga, as listed in Alexandria.

Structure (CIF):
```
data_La3Pm3Al2Ga
_cell_length_a 8.9850
_cell_length_b 8.9850
_cell_length_c 3.8019
_cell_angle_alpha 90.00
_cell_angle_beta 90.00
_cell_angle_gamma 120.00
_space_group_name_H-M_alt 'P -6 2 m'
_space_group_IT_number 189
_space_group_name_Hall 'P -6 -2'
loop_
_atom_site_label
_atom_site_type_symbol
_atom_site_fract_x
_atom_site_fract_y
_atom_site_fract_z
La1 La 0.0000 0.7245 0.0000
Pm1 Pm 0.0000 0.3940 0.5000
Al1 Al 0.3333 0.6667 0.0000
Ga1 Ga 0.0000 0.0000 0.5000
```

Values from the calculation:
Theoretical density (Mg/m³): 6.09
D(E_F) (states/eV per atom): 0.988
Magnetization (μB/f.u.): 0.00
Energy of formation (eV per atom): -0.2588



First-principles (PBE) data for an optimized crystal structure of La2Pr2AlGa4, as listed in Alexandria.

Structure (CIF):
```
data_La2Pr2AlGa4
_cell_length_a 7.226
_cell_length_b 7.226
_cell_length_c 9.124
_cell_angle_alpha 90.00
_cell_angle_beta 90.00
_cell_angle_gamma 90.00
_space_group_name_H-M_alt 'I 4/m m m'
_space_group_IT_number 139
_space_group_name_Hall '-I 4 2'
loop_
_atom_site_label
_atom_site_type_symbol
_atom_site_fract_x
_atom_site_fract_y
_atom_site_fract_z
La1 La 0.000 0.500 0.250
Pr1 Pr 0.000 0.000 0.184
Al1 Al 0.000 0.000 0.500
Ga1 Ga 0.243 0.243 0.500
```

Values from the calculation:
Theoretical density (Mg/m³): 6.03
D(E_F) (states/eV per atom): 0.890
Magnetization (μB/f.u.): 0.00
Energy of formation (eV per atom): -0.3225



Q: Look up the energy of formation of the third one.
A: -0.2588 eV per atom



Q: Among the records above, which one has the lowest theoretical density?
A: LaAl2GaPd



Q: The lowest theoretical density belongs to which entry?
A: LaAl2GaPd